Mo3O8: relaxed, PBE+U.

Calculated values
Energy relative to the lowest polymorph listed for this composition in meV per atom: 29.7
Volume in Å³/atom: 15.1

abc: 10.675 6.147 6.148
angles: 90.00 124.61 90.00
Space group C2/m (No. 12)
Symmetry-distinct sites (fractional):
Mo (0.000, 0.000, 0.000) [2 per cell]
Mo (0.250, 0.250, 0.500) [4 per cell]
O (0.024, 0.220, 0.242) [8 per cell]
O (0.234, 0.000, 0.250) [4 per cell]
O (0.247, 0.000, 0.688) [4 per cell]